Here is a geometry-optimized La2MoO6 structure from Alexandria via LeMat-Bulk. Energies are from GGA+U.

Results
calculated density	5.8	g/cm³
total magnetization	0.00	μB/f.u.
space group	R-3
energy	-7.824	eV/atom

POSCAR file:
```
La2MoO6
1.0
-0.9669 2.6415 -4.8320
-3.5413 -2.5444 -3.4993
-5.0382 2.3690 -0.5138
La Mo O
2 1 6
Direct
0.7501 0.7501 0.7501
0.2499 0.2499 0.2499
0.0000 0.0000 0.0000
0.3331 0.8006 0.1180
0.8006 0.1180 0.3331
0.1180 0.3331 0.8006
0.6669 0.1994 0.8820
0.8820 0.6669 0.1994
0.1994 0.8820 0.6669
```